Here is IrI2Cl8 after structural relaxation from Alexandria. Energies are from PBE-GGA.

Cell lengths 8.6477, 8.6477, 7.5615 Å; angles 110.31, 110.31, 48.13 degrees
Atoms (fractional coordinates):
Ir1 0.0000 0.0000 0.0000
I1 0.2490 0.2490 0.4578
I2 0.7510 0.7510 0.5422
Cl1 0.0652 0.0652 0.3364
Cl2 0.1278 0.6679 0.0078
Cl3 0.3321 0.8722 0.9922
Cl4 0.4121 0.4121 0.5730
Cl5 0.5879 0.5879 0.4270
Cl6 0.6679 0.1278 0.0078
Cl7 0.8722 0.3321 0.9922
Cl8 0.9348 0.9348 0.6636

Output
Crystal system = monoclinic
Total magnetic moment = 0.16 μB per atom
E_form (uncorrected) = -0.2335 eV per atom
Space-group type = C2/m, No. 12

Here is IrICl after structural relaxation from Alexandria. Energies are from PBE-GGA.

Cell lengths 6.9773, 6.9773, 7.8556 Å; angles 115.85, 115.85, 31.34 degrees
Atoms (fractional coordinates):
Ir1 0.2487 0.2487 0.2047
Ir2 0.7513 0.7513 0.7953
I1 0.1274 0.1274 0.8116
I2 0.8726 0.8726 0.1884
Cl1 0.3499 0.3499 0.7390
Cl2 0.6501 0.6501 0.2610

Output
Crystal system = monoclinic
Total magnetic moment = 0.00 μB per atom
E_form (uncorrected) = 0.1374 eV per atom
Space-group type = C2/m, No. 12

Here is IrICl2 after structural relaxation from Alexandria. Energies are from PBE-GGA.

Cell lengths 10.8121, 10.8121, 10.8121 Å; angles 19.20, 19.20, 19.20 degrees
Atoms (fractional coordinates):
Ir1 0.0000 0.0000 0.0000
I1 0.5000 0.5000 0.5000
Cl1 0.3735 0.3735 0.3735
Cl2 0.6265 0.6265 0.6265

Output
Crystal system = trigonal
Total magnetic moment = 0.21 μB per atom
E_form (uncorrected) = 0.1910 eV per atom
Space-group type = R-3m, No. 166
Offset from the most stable computed form = 0.0 meV/atom

Here is IrI2Cl6 after structural relaxation from Alexandria. Energies are from PBE-GGA.

Cell lengths 9.7614, 9.7614, 8.3901 Å; angles 95.66, 95.66, 90.15 degrees
Atoms (fractional coordinates):
Ir1 0.1623 0.8377 0.7500
Ir2 0.8377 0.1623 0.2500
I1 0.3374 0.3384 0.0659
I2 0.3384 0.3374 0.5659
I3 0.6616 0.6626 0.4341
I4 0.6626 0.6616 0.9341
Cl1 0.0394 0.2019 0.1631
Cl2 0.1275 0.7147 0.5075
Cl3 0.2019 0.0394 0.6631
Cl4 0.2298 0.4461 0.8167
Cl5 0.2853 0.8725 0.9925
Cl6 0.4461 0.2298 0.3167
Cl7 0.5539 0.7702 0.6833
Cl8 0.7147 0.1275 0.0075
Cl9 0.7702 0.5539 0.1833
Cl10 0.7981 0.9606 0.3369
Cl11 0.8725 0.2853 0.4925
Cl12 0.9606 0.7981 0.8369

Output
Crystal system = monoclinic
Total magnetic moment = 0.12 μB per atom
E_form (uncorrected) = -0.1104 eV per atom
Space-group type = C2/c, No. 15

Here is Ir2I2Cl after structural relaxation from Alexandria. Energies are from PBE-GGA.

Cell lengths 7.5094, 7.5094, 3.7496 Å; angles 90.00, 90.00, 90.00 degrees
Atoms (fractional coordinates):
Ir1 0.1286 0.3714 0.0000
Ir2 0.3714 0.8714 0.0000
Ir3 0.6286 0.1286 0.0000
Ir4 0.8714 0.6286 0.0000
I1 0.1702 0.6702 0.5000
I2 0.3298 0.1702 0.5000
I3 0.6702 0.8298 0.5000
I4 0.8298 0.3298 0.5000
Cl1 0.0000 0.0000 0.0000
Cl2 0.5000 0.5000 0.0000

Output
Crystal system = tetragonal
Total magnetic moment = 0.00 μB per atom
E_form (uncorrected) = 0.8934 eV per atom
Space-group type = P4/mbm, No. 127
Offset from the most stable computed form = 412.5 meV/atom

Here is IrICl2 after structural relaxation from Alexandria. Energies are from PBE-GGA.

Cell lengths 13.0500, 13.0500, 13.0500 Å; angles 13.80, 13.80, 13.80 degrees
Atoms (fractional coordinates):
Ir1 0.0000 0.0000 0.0000
I1 0.5000 0.5000 0.5000
Cl1 0.0569 0.0569 0.0569
Cl2 0.9431 0.9431 0.9431

Output
Crystal system = trigonal
Total magnetic moment = 0.00 μB per atom
E_form (uncorrected) = 0.2317 eV per atom
Space-group type = R-3m, No. 166
Offset from the most stable computed form = 40.7 meV/atom